Entry 1:
Ho2FeRu | PBE-GGA | optimized geometry

Structure (POSCAR):
```
Ho2FeRu
1.0
-2.561 -1.369 -1.498
-1.843 -2.185 1.583
-7.044 5.802 3.176
Ru Ho Fe
1 2 1
Cartesian
-5.724 1.124 1.630 Ru
-5.461 3.818 2.282 Ho
-5.988 -1.570 0.979 Ho
0.000 0.000 0.000 Fe
```

Values from the calculation:
* total energy: -0.230 hartree per atom
* formation energy: 182 kJ/mol of formula units
* symmetry: R-3m

***

Entry 2:
As2SeIF | PBE-GGA | optimized geometry

Structure (POSCAR):
```
As2SeIF
1.0
-1.217 -5.310 -0.817
4.983 -1.429 1.864
-1.940 -0.316 4.945
I As Se F
1 2 1 1
Cartesian
0.000 0.000 0.000 I
2.491 -0.714 0.932 As
-0.608 -2.655 -0.409 As
-0.970 -0.158 2.472 Se
0.913 -3.527 2.996 F
```

Values from the calculation:
* total energy: -0.081 hartree per atom
* offset from the most stable computed form: 591.0 meV/atom
* raw formation energy: 1.028 eV per atom
* symmetry: P4/mmm

***

Entry 3:
Er4SiC | PBE-GGA | optimized geometry

Structure (POSCAR):
```
Er4SiC
1.0
-1.037 5.475 -2.811
-3.214 -4.531 -4.001
-3.582 0.333 7.079
Er Si C
8 2 2
Cartesian
-5.447 -2.485 -0.349 Er
-2.934 -3.525 -2.647 Er
-2.754 -0.372 0.952 Er
-6.012 -0.598 2.369 Er
-2.386 3.762 0.617 Er
-5.079 1.649 -0.684 Er
-4.899 4.802 2.915 Er
-1.821 1.875 -2.101 Er
-3.228 -0.705 -1.827 Si
-4.605 1.982 2.095 Si
-1.533 4.213 -1.622 C
-6.300 -2.936 1.890 C
```

Values from the calculation:
* total energy: -0.214 hartree per atom
* raw formation energy: -0.338 eV per atom
* symmetry: C2/c

***

Entry 4:
Ce2InGa3 | PBE-GGA | optimized geometry

Structure (POSCAR):
```
Ce2InGa3
1.0
-2.772 5.289 -1.313
-2.866 -0.459 5.382
8.517 1.406 1.325
Ce In Ga
4 2 6
Cartesian
1.416 1.681 4.371 Ce
-4.239 3.632 3.059 Ce
1.463 4.555 1.023 Ce
-1.399 1.199 1.010 Ce
-0.923 3.687 3.152 In
3.802 2.549 2.242 In
-1.923 1.553 4.300 Ga
4.753 1.724 4.540 Ga
4.801 4.683 1.094 Ga
-1.875 4.512 0.854 Ga
1.843 1.236 1.087 Ga
1.036 5.000 4.307 Ga
```

Values from the calculation:
* total energy: -0.163 hartree per atom
* offset from the most stable computed form: 0.0 meV/atom
* formation energy: -278 kJ/mol of formula units
* symmetry: Fmmm